VASP calculation (PBEsol) on a geometry-optimized Tl2ZnIr structure.

For the calculated total energy, the calculation gives -3.70 eV/atom. Its density of states at the Fermi level is 4.2 states/eV per cell. Its energy above the lowest structure with this stoichiometry is 17 kJ/mol of formula units.

Unit cell a=9.329 b=3.239 c=5.063 alpha=90.00 beta=99.99 gamma=90.00
Space group C2/m (No. 12)
Asymmetric unit:
Tl1 0.244 0.000 0.245 (multiplicity 4)
Zn1 0.000 0.000 0.500 (multiplicity 2)
Ir1 0.000 0.500 0.000 (multiplicity 2)

---

VASP calculation (PBEsol) on a geometry-optimized SrGaH5 structure.

For the calculated total energy, the calculation gives -3.33 eV/atom. Its density of states at the Fermi level is 0.0 states/eV per cell.

Unit cell a=8.370 b=4.611 c=8.449 alpha=90.00 beta=90.00 gamma=90.00
Space group Pnma (No. 62)
Asymmetric unit:
Sr1 0.007 0.250 0.189 (multiplicity 4)
Ga1 0.169 0.250 0.583 (multiplicity 4)
H1 0.022 0.250 0.909 (multiplicity 4)
H2 0.023 0.750 0.407 (multiplicity 4)
H3 0.222 0.250 0.402 (multiplicity 4)
H4 0.227 0.532 0.673 (multiplicity 8)

---

VASP calculation (PBEsol) on a geometry-optimized BaSr5 structure.

For the calculated total energy, the calculation gives -1.89 eV/atom. Its density of states at the Fermi level is 6.7 states/eV per cell. Its energy above the lowest structure with this stoichiometry is 0 kJ/mol of formula units.

Unit cell a=4.214 b=4.214 c=17.888 alpha=90.00 beta=90.00 gamma=90.00
Space group P4/mmm (No. 123)
Asymmetric unit:
Ba1 0.000 0.000 0.000 (multiplicity 1)
Sr1 0.000 0.000 0.337 (multiplicity 2)
Sr2 0.500 0.500 0.173 (multiplicity 2)
Sr3 0.500 0.500 0.500 (multiplicity 1)

---

VASP calculation (PBEsol) on a geometry-optimized KZnSb2 structure.

For the calculated total energy, the calculation gives -2.88 eV/atom. Its uncorrected formation energy is 0.08 eV/atom. Its density of states at the Fermi level is 4.3 states/eV per cell.

Unit cell a=6.486 b=10.082 c=3.132 alpha=90.00 beta=90.00 gamma=90.00
Space group Cmmm (No. 65)
Asymmetric unit:
K1 0.000 0.000 0.000 (multiplicity 2)
Zn1 0.000 0.500 0.000 (multiplicity 2)
Sb1 0.250 0.250 0.500 (multiplicity 4)

---

VASP calculation (PBEsol) on a geometry-optimized La3Tl structure.

For the calculated total energy, the calculation gives -4.87 eV/atom. Its density of states at the Fermi level is 14.9 states/eV per cell. Its energy above the lowest structure with this stoichiometry is 33 kJ/mol of formula units.

Unit cell a=6.324 b=6.324 c=6.324 alpha=90.00 beta=90.00 gamma=90.00
Space group Pm-3n (No. 223)
Asymmetric unit:
La1 0.000 0.250 0.500 (multiplicity 6)
Tl1 0.000 0.000 0.000 (multiplicity 2)

---

VASP calculation (PBEsol) on a geometry-optimized K2LaMnGa structure.

For the calculated total energy, the calculation gives -3.23 eV/atom. Its density of states at the Fermi level is 4.9 states/eV per cell.

Unit cell a=5.942 b=5.942 c=5.292 alpha=90.00 beta=90.00 gamma=90.00
Space group P4/mmm (No. 123)
Asymmetric unit:
K1 0.000 0.500 0.000 (multiplicity 2)
La1 0.000 0.000 0.500 (multiplicity 1)
Mn1 0.000 0.000 0.000 (multiplicity 1)
Ga1 0.500 0.500 0.500 (multiplicity 1)

---

VASP calculation (PBEsol) on a geometry-optimized InPb2SBr structure.

For the calculated total energy, the calculation gives -2.97 eV/atom. Its uncorrected formation energy is 0.48 eV/atom. Its density of states at the Fermi level is 3.2 states/eV per cell.

Unit cell a=5.628 b=5.628 c=5.016 alpha=90.00 beta=90.00 gamma=90.00
Space group P4/mmm (No. 123)
Asymmetric unit:
In1 0.000 0.000 0.000 (multiplicity 1)
Pb1 0.000 0.500 0.500 (multiplicity 2)
S1 0.500 0.500 0.000 (multiplicity 1)
Br1 0.500 0.500 0.500 (multiplicity 1)

---

VASP calculation (PBEsol) on a geometry-optimized MgCd2In structure.

For the calculated total energy, the calculation gives -1.83 eV/atom. Its density of states at the Fermi level is 1.4 states/eV per cell.

Unit cell a=3.286 b=4.349 c=6.126 alpha=90.00 beta=90.00 gamma=90.00
Space group Pmm2 (No. 25)
Asymmetric unit:
Mg1 0.000 0.000 0.000 (multiplicity 1)
Cd1 0.000 0.000 0.490 (multiplicity 1)
Cd2 0.500 0.500 0.245 (multiplicity 1)
In1 0.500 0.500 0.748 (multiplicity 1)